[1]
Entry from Alexandria: NaU2Tl3Se6 after structural relaxation (PBE).

Total moment (Bohr magnetons per cell): 8.00
Uncorrected energy (eV per cell): -125.37
Raw formation energy (meV/atom): -899

Unit cell a=19.6784 b=4.2001 c=9.1782 alpha=90.00 beta=109.08 gamma=90.00
Space group C2/m (No. 12)
Unique sites:
Na1 0.0000 0.0000 0.0000 [2 per cell]
U1 0.1666 0.5000 0.3264 [4 per cell]
Tl1 0.0000 0.0000 0.5000 [2 per cell]
Tl2 0.1552 0.5000 0.8318 [4 per cell]
Se1 0.0221 0.5000 0.2473 [4 per cell]
Se2 0.1701 0.0000 0.1188 [4 per cell]
Se3 0.1777 0.0000 0.5498 [4 per cell]


[2]
Entry from Alexandria: BaPd3N after structural relaxation (PBE).

Total moment (Bohr magnetons per cell): 2.87
Uncorrected energy (eV per cell): -15.96
Raw formation energy (meV/atom): 1973

Unit cell a=5.5651 b=5.5651 c=5.5651 alpha=90.00 beta=90.00 gamma=90.00
Space group Pm-3m (No. 221)
Unique sites:
Ba1 0.0000 0.0000 0.0000 [1 per cell]
Pd1 0.0000 0.0000 0.5000 [3 per cell]
N1 0.5000 0.5000 0.5000 [1 per cell]


[3]
Entry from Alexandria: CaZn2H7 after structural relaxation (PBE).

Total moment (Bohr magnetons per cell): 0.00
Uncorrected energy (eV per cell): -53.64

Unit cell a=5.8026 b=8.8847 c=3.5046 alpha=90.00 beta=90.00 gamma=90.00
Space group Cmmm (No. 65)
Unique sites:
Ca1 0.0000 0.0000 0.0000 [2 per cell]
Zn1 0.0000 0.2991 0.5000 [4 per cell]
H1 0.0000 0.2788 0.0000 [4 per cell]
H2 0.0000 0.5000 0.5000 [2 per cell]
H3 0.1925 0.1262 0.5000 [8 per cell]


[4]
Entry from Alexandria: Cs3TaI after structural relaxation (PBE).

Total moment (Bohr magnetons per cell): 4.99
Uncorrected energy (eV per cell): -12.31
Raw formation energy (meV/atom): 730

Unit cell a=7.1905 b=7.1905 c=7.1905 alpha=90.00 beta=90.00 gamma=90.00
Space group Pm-3m (No. 221)
Unique sites:
Cs1 0.0000 0.0000 0.5000 [3 per cell]
Ta1 0.5000 0.5000 0.5000 [1 per cell]
I1 0.0000 0.0000 0.0000 [1 per cell]


[5]
Entry from Alexandria: VNiSn3 after structural relaxation (PBE).

Total moment (Bohr magnetons per cell): 1.96
Uncorrected energy (eV per cell): -23.23

Unit cell a=5.1019 b=5.1019 c=5.1019 alpha=90.00 beta=90.00 gamma=90.00
Space group Pm-3m (No. 221)
Unique sites:
V1 0.0000 0.0000 0.0000 [1 per cell]
Ni1 0.5000 0.5000 0.5000 [1 per cell]
Sn1 0.0000 0.0000 0.5000 [3 per cell]


[6]
Entry from Alexandria: SmBeGa2Co2 after structural relaxation (PBE).

Total moment (Bohr magnetons per cell): 0.57
Uncorrected energy (eV per cell): -30.80

Unit cell a=4.0607 b=4.0607 c=5.5244 alpha=90.00 beta=90.00 gamma=90.00
Space group P4/mmm (No. 123)
Unique sites:
Sm1 0.0000 0.0000 0.0000 [1 per cell]
Be1 0.0000 0.0000 0.5000 [1 per cell]
Ga1 0.5000 0.5000 0.2439 [2 per cell]
Co1 0.0000 0.5000 0.5000 [2 per cell]